Record 1
Material: Mg3ZnHg
Method: DFT, PBEsol
State: relaxed

Computed properties:
Calculated formation energy (meV/atom): 134

Cell lengths 4.9698, 4.9698, 4.9698 Å; angles 90.00, 90.00, 90.00 degrees
Closest atoms and distances in Å follow each position.
Element x y z (fractional)
Mg 0.0000 0.0000 0.5000  2 Zn 2.48
Mg 0.0000 0.5000 0.0000  2 Zn 2.48
Mg 0.5000 0.0000 0.0000  2 Zn 2.48
Zn 0.0000 0.0000 0.0000  6 Mg 2.48
Hg 0.5000 0.5000 0.5000  12 Mg 3.51

Record 2
Material: NaSb3N
Method: DFT, PBEsol
State: relaxed

Computed properties:
ΔE_f (raw) (eV/atom): 0.34

Cell lengths 4.7822, 4.7822, 4.7822 Å; angles 90.00, 90.00, 90.00 degrees
Closest atoms and distances in Å follow each position.
Element x y z (fractional)
Na 0.0000 0.0000 0.0000  12 Sb 3.38
Sb 0.0000 0.5000 0.5000  2 N 2.39
Sb 0.5000 0.0000 0.5000  2 N 2.39
Sb 0.5000 0.5000 0.0000  2 N 2.39
N 0.5000 0.5000 0.5000  6 Sb 2.39

Record 3
Material: MgHg2Bi
Method: DFT, PBEsol
State: relaxed

Computed properties:
Calculated formation energy (meV/atom): -66

Cell lengths 11.3785, 11.3785, 11.3785 Å; angles 158.13, 158.13, 31.12 degrees
Closest atoms and distances in Å follow each position.
Element x y z (fractional)
Mg 0.0000 0.0000 0.0000  4 Bi 3.05, 4 Hg 3.12
Mg 0.7500 0.2500 0.5000  4 Bi 3.05, 4 Hg 3.12
Hg 0.1126 0.6250 0.9876  4 Hg 2.98-3.13, 2 Mg 3.12, 2 Bi 3.16
Hg 0.3750 0.3626 0.4876  4 Hg 2.98-3.13, 2 Mg 3.12, 2 Bi 3.16
Hg 0.6374 0.1250 0.0124  4 Hg 2.98-3.13, 2 Mg 3.12, 2 Bi 3.16
Hg 0.8750 0.8874 0.5124  4 Hg 2.98-3.13, 2 Mg 3.12, 2 Bi 3.16
Bi 0.2500 0.7500 0.5000  4 Mg 3.05, 4 Hg 3.16
Bi 0.5000 0.5000 0.0000  4 Mg 3.05, 4 Hg 3.16

Record 4
Material: Hf2BiP
Method: DFT, PBEsol
State: relaxed

Computed properties:
Calculated formation energy (meV/atom): -278

Cell lengths 4.8168, 4.8168, 4.8168 Å; angles 60.00, 60.00, 60.00 degrees
Closest atoms and distances in Å follow each position.
Element x y z (fractional)
Hf 0.2500 0.2500 0.2500  4 Bi 2.95, 4 P 2.95
Hf 0.7500 0.7500 0.7500  4 Bi 2.95, 4 P 2.95
Bi 0.0000 0.0000 0.0000  8 Hf 2.95
P 0.5000 0.5000 0.5000  8 Hf 2.95

Record 5
Material: TaMoW2
Method: DFT, PBEsol
State: relaxed

Computed properties:
Excess energy over the best structure of this formula in the dataset (meV per atom): 30
Calculated formation energy (meV/atom): -83

Cell lengths 5.2640, 5.2640, 2.7504 Å; angles 99.97, 99.97, 117.33 degrees
Closest atoms and distances in Å follow each position.
Element x y z (fractional)
Ta 0.0000 0.0000 0.0000  2 Mo 2.74, 2 Ta 2.75, 4 W 2.75
Mo 0.5000 0.5000 0.0000  2 Ta 2.74, 2 Mo 2.75, 4 W 2.75
W 0.0000 0.5000 0.5000  4 W 2.74-2.75, 2 Ta 2.75, 2 Mo 2.75
W 0.5000 0.0000 0.5000  4 W 2.74-2.75, 2 Ta 2.75, 2 Mo 2.75

Record 6
Material: TmAgSe2
Method: DFT, PBEsol
State: relaxed

Computed properties:
ΔE_f (raw) (eV/atom): -1.19

Cell lengths 4.1546, 6.5924, 13.4562 Å; angles 90.00, 90.00, 90.00 degrees
Closest atoms and distances in Å follow each position.
Element x y z (fractional)
Tm 0.2039 0.2064 0.3738  6 Se 2.78-2.84
Tm 0.2961 0.7936 0.8738  6 Se 2.78-2.84
Tm 0.7039 0.2936 0.6262  6 Se 2.78-2.84
Tm 0.7961 0.7064 0.1262  6 Se 2.78-2.84
Ag 0.0080 0.7096 0.3687  4 Se 2.64-2.69
Ag 0.4920 0.2904 0.8687  4 Se 2.64-2.69
Ag 0.5080 0.7904 0.6313  4 Se 2.64-2.69
Ag 0.9920 0.2096 0.1313  4 Se 2.64-2.69
Se 0.2059 0.0855 0.7254  2 Ag 2.64, 3 Tm 2.80-2.83
Se 0.2142 0.4967 0.5263  2 Ag 2.68-2.69, 3 Tm 2.78-2.84
Se 0.2858 0.5033 0.0263  2 Ag 2.68-2.69, 3 Tm 2.78-2.84
Se 0.2941 0.9145 0.2254  2 Ag 2.64, 3 Tm 2.80-2.83
Se 0.7059 0.4145 0.2746  2 Ag 2.64, 3 Tm 2.80-2.83
Se 0.7142 0.0033 0.4737  2 Ag 2.68-2.69, 3 Tm 2.78-2.84
Se 0.7858 0.9967 0.9737  2 Ag 2.68-2.69, 3 Tm 2.78-2.84
Se 0.7941 0.5855 0.7746  2 Ag 2.64, 3 Tm 2.80-2.83